(1)
DFT (PBE with a Hubbard U) results for an optimized crystal structure of GaNiAg2F8.

Summary:
The calculation puts the total energy at -48.41 eV per cell.

Cell: 5.192 5.213 6.360 Å, 89.71 90.28 94.24°
Last column: magnetic moment on the atom in μB.
Fractional coordinates of all 12 atoms:
Ag  0.500  0.500  0.247  0.34
Ga  0.000  0.000  0.000  0.00
F  0.292  0.251  0.000  0.07
F  0.297  0.266  0.500  0.12
F  0.150  0.823  0.235  0.03
Ag  0.500  0.500  0.753  0.34
Ni  0.000  0.000  0.500  1.84
F  0.150  0.823  0.768  0.03
F  0.708  0.749  0.000  0.07
F  0.850  0.177  0.765  0.03
F  0.703  0.734  0.500  0.12
F  0.850  0.177  0.232  0.03



(2)
DFT (PBE with a Hubbard U) results for an optimized crystal structure of UCo2CuO8.

Summary:
The calculation puts the total energy at -80.25 eV per cell.

Cell: 5.754 5.754 5.754 Å, 108.62 108.62 111.20°
Last column: magnetic moment on the atom in μB.
Fractional coordinates of all 12 atoms:
O  0.374  0.075  0.299  0.26
O  0.776  0.075  0.701  0.26
O  0.310  0.114  0.803  -0.23
U  0.000  0.000  0.000  0.39
Co  0.500  0.500  0.000  -2.85
Cu  0.250  0.750  0.500  0.43
O  0.310  0.507  0.197  -0.23
Co  0.750  0.250  0.500  2.99
O  0.925  0.224  0.299  0.26
O  0.493  0.690  0.803  -0.23
O  0.886  0.690  0.197  -0.23
O  0.925  0.626  0.701  0.26